Record 1
# Ho2TiO5

A relaxed structure of Ho2TiO5 (GGA-PBEsol, Alexandria).

abc: 7.2455 3.6105 15.2370
angles: 90.00 90.00 90.00
Space group Pnma (No. 62)
Inequivalent atoms, fractional coordinates:
1 Ho 0.0896 0.2500 0.0898 x4
2 Ho 0.1348 0.2500 0.7318 x4
3 Ti 0.1275 0.2500 0.4266 x4
4 O 0.0801 0.7500 0.4526 x4
5 O 0.0913 0.7500 0.1780 x4
6 O 0.1055 0.7500 0.6480 x4
7 O 0.1530 0.7500 0.0019 x4
8 O 0.2142 0.7500 0.8299 x4

## Properties
Formation energy (no corrections) = -3.468 eV per atom

Record 2
# HoTlW2O8

A relaxed structure of HoTlW2O8 (GGA-PBEsol, Alexandria).

abc: 10.6532 10.4308 7.4388
angles: 90.00 130.61 90.00
Space group C2/c (No. 15)
Inequivalent atoms, fractional coordinates:
1 Ho 0.0000 0.2279 0.2500 x4
2 Tl 0.0000 0.2085 0.7500 x4
3 W 0.1977 0.4972 0.2301 x8
4 O 0.0225 0.3912 0.4696 x8
5 O 0.1261 0.0845 0.1884 x8
6 O 0.1913 0.4289 0.9463 x8
7 O 0.2229 0.1588 0.6228 x8

## Properties
Formation energy (no corrections) = -2.381 eV per atom

Repeat the second record exactly.
# HoTlW2O8

A relaxed structure of HoTlW2O8 (GGA-PBEsol, Alexandria).

abc: 10.6532 10.4308 7.4388
angles: 90.00 130.61 90.00
Space group C2/c (No. 15)
Inequivalent atoms, fractional coordinates:
1 Ho 0.0000 0.2279 0.2500 x4
2 Tl 0.0000 0.2085 0.7500 x4
3 W 0.1977 0.4972 0.2301 x8
4 O 0.0225 0.3912 0.4696 x8
5 O 0.1261 0.0845 0.1884 x8
6 O 0.1913 0.4289 0.9463 x8
7 O 0.2229 0.1588 0.6228 x8

## Properties
Formation energy (no corrections) = -2.381 eV per atom